1.
Compound: BeAgPb2
Source: Alexandria via LeMat-Bulk
Functional: PBE-GGA
Structure: optimized geometry

Lattice parameters (Å, degrees): 3.363 3.680 7.502 90.00 100.04 90.00
Positions (direct):
Be: 0.000 0.000 0.000
Ag: 0.000 0.000 0.500
Pb: 0.432 0.500 0.228
Pb: 0.568 0.500 0.772

Results
**Size of the total moment**: 0.00 μB per cell
**Mass density**: 9.65 g/cm3
**Uncorrected energy**: -3.052 eV per atom
**Volume**: 91 Å³ per cell
**Formation energy**: 446 meV per atom
**Space group**: P2/m (10)

---

2.
Compound: Be2AgPb
Source: Alexandria via LeMat-Bulk
Functional: PBE-GGA
Structure: optimized geometry

Lattice parameters (Å, degrees): 4.143 4.143 3.835 90.00 90.00 90.00
Positions (direct):
Be: 0.000 0.500 0.000
Be: 0.500 0.000 0.000
Ag: 0.000 0.000 0.500
Pb: 0.500 0.500 0.500

Results
**Size of the total moment**: 0.00 μB per cell
**Mass density**: 8.40 g/cm3
**Uncorrected energy**: -2.843 eV per atom
**Volume**: 66 Å³ per cell
**Formation energy**: 660 meV per atom
**Space group**: P4/mmm (123)

---

3.
Compound: BeAgPb2
Source: Alexandria via LeMat-Bulk
Functional: PBE-GGA
Structure: optimized geometry

Lattice parameters (Å, degrees): 5.116 5.116 5.116 60.00 60.00 60.00
Positions (direct):
Be: 0.000 0.000 0.000
Ag: 0.750 0.750 0.750
Pb: 0.250 0.250 0.250
Pb: 0.500 0.500 0.500

Results
**Size of the total moment**: 0.00 μB per cell
**Mass density**: 9.32 g/cm3
**Uncorrected energy**: -2.889 eV per atom
**Volume**: 95 Å³ per cell
**Formation energy**: 609 meV per atom
**Space group**: F-43m (216)

---

4.
Compound: Be2AgPb
Source: Alexandria via LeMat-Bulk
Functional: PBE-GGA
Structure: optimized geometry

Lattice parameters (Å, degrees): 4.128 4.128 5.482 112.61 112.61 59.87
Positions (direct):
Be: 0.182 0.182 0.045
Be: 0.818 0.818 0.955
Ag: 0.500 0.500 0.000
Pb: 0.000 0.000 0.500

Results
**Size of the total moment**: 0.00 μB per cell
**Mass density**: 7.64 g/cm3
**Uncorrected energy**: -3.136 eV per atom
**Volume**: 72 Å³ per cell
**Formation energy**: 367 meV per atom
**Space group**: C2/m (12)

---

5.
Compound: Be2AgPb
Source: Alexandria via LeMat-Bulk
Functional: PBE-GGA
Structure: optimized geometry

Lattice parameters (Å, degrees): 3.944 3.944 5.670 108.67 108.67 59.69
Positions (direct):
Be: 0.000 0.000 0.000
Be: 0.667 0.667 0.998
Ag: 0.394 0.394 0.188
Pb: 0.204 0.204 0.615

Results
**Size of the total moment**: 0.00 μB per cell
**Mass density**: 7.82 g/cm3
**Uncorrected energy**: -3.113 eV per atom
**Volume**: 71 Å³ per cell
**Formation energy**: 390 meV per atom
**Space group**: Cm (8)

---

6.
Compound: Be2AgPb
Source: Alexandria via LeMat-Bulk
Functional: PBE-GGA
Structure: optimized geometry

Lattice parameters (Å, degrees): 5.160 5.160 5.160 143.80 118.48 73.51
Positions (direct):
Be: 0.229 0.229 0.000
Be: 0.771 0.771 0.000
Ag: 0.000 0.500 0.500
Pb: 0.500 0.000 0.500

Results
**Size of the total moment**: 0.00 μB per cell
**Mass density**: 7.91 g/cm3
**Uncorrected energy**: -2.814 eV per atom
**Volume**: 70 Å³ per cell
**Formation energy**: 689 meV per atom
**Space group**: Immm (71)